[1]
! PmAl2Zn (PBE, optimized geometry); values from VASP
! DFT total energy = -3.806 eV/atom
! Symmetry = No. 63
! Energy relative to the elements = -428 meV/atom
! Density of states at the Fermi level = 0.37 states/eV per atom
&SYSTEM
  ibrav = 0, nat = 16, ntyp = 3
/
ATOMIC_SPECIES
Pm 145.00 Pm.upf
Al 26.98 Al.upf
Zn 65.41 Zn.upf
ATOMIC_POSITIONS crystal
Pm 0.500 0.500 0.000
Pm 0.500 0.000 0.000
Pm 0.304 0.750 0.607
Pm 0.696 0.250 0.393
Al 0.897 0.250 0.794
Al 0.946 0.750 0.892
Al 0.103 0.750 0.206
Al 0.054 0.250 0.108
Al 0.690 0.603 0.380
Al 0.310 0.397 0.620
Al 0.310 0.103 0.620
Al 0.690 0.897 0.380
Zn 0.146 0.476 0.293
Zn 0.854 0.976 0.707
Zn 0.146 0.024 0.293
Zn 0.854 0.524 0.707
CELL_PARAMETERS angstrom
4.263 0.000 -1.004
0.000 9.098 0.000
-0.245 0.000 8.510

[2]
! PmAl4Zn12 (PBE, optimized geometry); values from VASP
! DFT total energy = -1.844 eV/atom
! Symmetry = No. 204
! Energy relative to the elements = 216 meV/atom
! Density of states at the Fermi level = 0.71 states/eV per atom
&SYSTEM
  ibrav = 0, nat = 17, ntyp = 3
/
ATOMIC_SPECIES
Pm 145.00 Pm.upf
Al 26.98 Al.upf
Zn 65.41 Zn.upf
ATOMIC_POSITIONS crystal
Pm 0.000 0.000 0.000
Al 0.000 0.500 0.000
Al 0.500 0.000 0.000
Al 0.500 0.500 0.500
Al 0.000 0.000 0.500
Zn 0.852 0.355 0.207
Zn 0.355 0.503 0.148
Zn 0.793 0.148 0.645
Zn 0.355 0.207 0.852
Zn 0.207 0.852 0.355
Zn 0.645 0.497 0.852
Zn 0.503 0.148 0.355
Zn 0.497 0.852 0.645
Zn 0.645 0.793 0.148
Zn 0.852 0.645 0.497
Zn 0.148 0.355 0.503
Zn 0.148 0.645 0.793
CELL_PARAMETERS angstrom
7.627 0.000 0.000
-2.542 7.190 0.000
-2.542 -3.595 6.227

[3]
! Pm2Al2Zn (PBE, optimized geometry); values from VASP
! DFT total energy = -4.064 eV/atom
! Symmetry = No. 12
! Energy relative to the elements = -412 meV/atom
! Density of states at the Fermi level = 0.77 states/eV per atom
&SYSTEM
  ibrav = 0, nat = 10, ntyp = 3
/
ATOMIC_SPECIES
Pm 145.00 Pm.upf
Al 26.98 Al.upf
Zn 65.41 Zn.upf
ATOMIC_POSITIONS crystal
Pm 0.686 0.294 0.334
Pm 0.910 0.272 0.907
Pm 0.314 0.706 0.666
Pm 0.090 0.728 0.093
Al 0.077 0.282 0.564
Al 0.631 0.861 0.878
Al 0.923 0.718 0.436
Al 0.369 0.139 0.122
Zn 0.619 0.110 0.652
Zn 0.381 0.890 0.348
CELL_PARAMETERS angstrom
4.598 0.000 0.000
2.299 5.415 -0.209
2.299 -0.066 9.604

[4]
! PmAlZn4 (PBE, optimized geometry); values from VASP
! DFT total energy = -2.429 eV/atom
! Symmetry = No. 71
! Excess energy over the best structure of this formula in the dataset = 0.114 eV/atom
! Energy relative to the elements = -164 meV/atom
! Density of states at the Fermi level = 0.51 states/eV per atom
&SYSTEM
  ibrav = 0, nat = 6, ntyp = 3
/
ATOMIC_SPECIES
Pm 145.00 Pm.upf
Al 26.98 Al.upf
Zn 65.41 Zn.upf
ATOMIC_POSITIONS crystal
Pm 0.000 0.000 0.000
Al 0.500 0.500 0.500
Zn 0.216 0.444 0.124
Zn 0.216 0.124 0.444
Zn 0.784 0.556 0.876
Zn 0.784 0.876 0.556
CELL_PARAMETERS angstrom
-2.686 -3.384 -0.157
2.664 -4.821 -1.173
-1.531 -1.784 5.118

[5]
! Pm3AlZn2 (PBE, optimized geometry); values from VASP
! DFT total energy = -3.753 eV/atom
! Symmetry = No. 123
! Energy relative to the elements = -329 meV/atom
! Density of states at the Fermi level = 1.16 states/eV per atom
&SYSTEM
  ibrav = 0, nat = 6, ntyp = 3
/
ATOMIC_SPECIES
Pm 145.00 Pm.upf
Al 26.98 Al.upf
Zn 65.41 Zn.upf
ATOMIC_POSITIONS crystal
Pm 0.000 0.000 0.000
Pm 0.000 0.000 0.671
Pm 0.000 0.000 0.329
Al 0.500 0.500 0.500
Zn 0.500 0.500 0.838
Zn 0.500 0.500 0.162
CELL_PARAMETERS angstrom
3.636 0.000 0.000
0.000 3.636 0.000
0.000 0.000 11.251

[6]
! Pm3AlZn (PBE, optimized geometry); values from VASP
! DFT total energy = -4.107 eV/atom
! Symmetry = No. 63
! Energy relative to the elements = -254 meV/atom
! Density of states at the Fermi level = 1.05 states/eV per atom
&SYSTEM
  ibrav = 0, nat = 10, ntyp = 3
/
ATOMIC_SPECIES
Pm 145.00 Pm.upf
Al 26.98 Al.upf
Zn 65.41 Zn.upf
ATOMIC_POSITIONS crystal
Pm 0.754 0.250 0.140
Pm 0.391 0.250 0.867
Pm 0.573 0.250 0.503
Pm 0.258 0.750 0.133
Pm 0.894 0.750 0.860
Pm 0.076 0.750 0.497
Al 0.483 0.750 0.682
Al 0.165 0.250 0.318
Zn 0.665 0.750 0.317
Zn 0.983 0.250 0.683
CELL_PARAMETERS angstrom
-1.489 0.283 -5.002
3.044 -4.096 -1.137
-8.332 -6.027 -0.592

[7]
! Pm3Al4Zn7 (PBE, optimized geometry); values from VASP
! DFT total energy = -3.097 eV/atom
! Symmetry = No. 12
! Energy relative to the elements = -373 meV/atom
! Density of states at the Fermi level = 0.36 states/eV per atom
&SYSTEM
  ibrav = 0, nat = 14, ntyp = 3
/
ATOMIC_SPECIES
Pm 145.00 Pm.upf
Al 26.98 Al.upf
Zn 65.41 Zn.upf
ATOMIC_POSITIONS crystal
Pm 0.303 0.200 0.193
Pm 0.697 0.800 0.807
Pm 0.000 0.500 0.500
Al 0.659 0.478 0.205
Al 0.341 0.522 0.795
Al 0.856 0.920 0.367
Al 0.144 0.080 0.633
Zn 0.343 0.788 0.526
Zn 0.502 0.196 0.800
Zn 0.862 0.360 0.916
Zn 0.657 0.212 0.474
Zn 0.138 0.640 0.084
Zn 0.000 0.000 0.000
Zn 0.498 0.804 0.200
CELL_PARAMETERS angstrom
4.231 0.000 1.067
1.582 7.745 2.649
0.161 0.057 8.282

[8]
! Pm2Al3Zn (PBE, optimized geometry); values from VASP
! DFT total energy = -4.136 eV/atom
! Symmetry = No. 69
! Energy relative to the elements = -469 meV/atom
! Density of states at the Fermi level = 0.53 states/eV per atom
&SYSTEM
  ibrav = 0, nat = 12, ntyp = 3
/
ATOMIC_SPECIES
Pm 145.00 Pm.upf
Al 26.98 Al.upf
Zn 65.41 Zn.upf
ATOMIC_POSITIONS crystal
Pm 0.750 0.250 0.500
Pm 0.748 0.252 0.000
Pm 0.250 0.750 0.500
Pm 0.252 0.748 0.000
Al 0.833 0.833 0.168
Al 0.665 0.665 0.832
Al 0.167 0.167 0.832
Al 0.335 0.335 0.168
Al 0.168 0.168 0.336
Al 0.832 0.832 0.664
Zn 0.667 0.667 0.333
Zn 0.333 0.333 0.667
CELL_PARAMETERS angstrom
0.524 -1.141 5.769
5.140 -2.902 0.123
0.990 8.831 -1.945

[9]
! Pm6AlZn2 (PBE, optimized geometry); values from VASP
! DFT total energy = -4.051 eV/atom
! Symmetry = No. 71
! Energy relative to the elements = -185 meV/atom
! Density of states at the Fermi level = 1.19 states/eV per atom
&SYSTEM
  ibrav = 0, nat = 18, ntyp = 3
/
ATOMIC_SPECIES
Pm 145.00 Pm.upf
Al 26.98 Al.upf
Zn 65.41 Zn.upf
ATOMIC_POSITIONS crystal
Pm 0.554 0.735 0.819
Pm 0.446 0.265 0.181
Pm 0.085 0.265 0.819
Pm 0.915 0.735 0.181
Pm 0.799 0.753 0.552
Pm 0.201 0.247 0.448
Pm 0.201 0.753 0.954
Pm 0.799 0.247 0.046
Pm 0.724 0.402 0.679
Pm 0.276 0.598 0.321
Pm 0.276 0.955 0.679
Pm 0.724 0.045 0.321
Al 0.000 0.500 0.500
Al 0.000 0.000 0.000
Zn 0.500 0.374 0.874
Zn 0.500 0.626 0.126
Zn 0.633 0.000 0.633
Zn 0.367 0.000 0.367
CELL_PARAMETERS angstrom
-1.867 -4.574 7.221
-1.981 -4.800 -7.042
8.522 1.977 -0.156

[10]
! Pm2AlZn3 (PBE, optimized geometry); values from VASP
! DFT total energy = -3.188 eV/atom
! Symmetry = No. 44
! Excess energy over the best structure of this formula in the dataset = 0.048 eV/atom
! Energy relative to the elements = -344 meV/atom
! Density of states at the Fermi level = 0.92 states/eV per atom
&SYSTEM
  ibrav = 0, nat = 6, ntyp = 3
/
ATOMIC_SPECIES
Pm 145.00 Pm.upf
Al 26.98 Al.upf
Zn 65.41 Zn.upf
ATOMIC_POSITIONS crystal
Pm 0.126 0.126 0.252
Pm 0.875 0.375 0.749
Al 0.460 0.960 0.921
Zn 0.703 0.703 0.405
Zn 0.540 0.540 0.081
Zn 0.296 0.796 0.592
CELL_PARAMETERS angstrom
-0.543 3.088 -2.397
-3.806 -1.728 -1.365
-1.590 3.095 7.596

[11]
! Pm4AlZn3 (PBE, optimized geometry); values from VASP
! DFT total energy = -3.614 eV/atom
! Symmetry = No. 25
! Excess energy over the best structure of this formula in the dataset = 0.033 eV/atom
! Energy relative to the elements = -293 meV/atom
! Density of states at the Fermi level = 0.76 states/eV per atom
&SYSTEM
  ibrav = 0, nat = 8, ntyp = 3
/
ATOMIC_SPECIES
Pm 145.00 Pm.upf
Al 26.98 Al.upf
Zn 65.41 Zn.upf
ATOMIC_POSITIONS crystal
Pm 0.500 0.500 0.349
Pm 0.000 0.500 0.843
Pm 0.000 0.000 0.156
Pm 0.500 0.000 0.652
Al 0.500 0.500 0.063
Zn 0.000 0.500 0.564
Zn 0.000 0.000 0.436
Zn 0.500 0.000 0.936
CELL_PARAMETERS angstrom
-1.443 3.062 -1.387
-3.979 -0.969 1.999
3.450 6.067 9.806

[12]
! Pm3Al2Zn4 (PBE, optimized geometry); values from VASP
! DFT total energy = -3.389 eV/atom
! Symmetry = No. 12
! Energy relative to the elements = -408 meV/atom
! Density of states at the Fermi level = 0.80 states/eV per atom
&SYSTEM
  ibrav = 0, nat = 9, ntyp = 3
/
ATOMIC_SPECIES
Pm 145.00 Pm.upf
Al 26.98 Al.upf
Zn 65.41 Zn.upf
ATOMIC_POSITIONS crystal
Pm 0.663 0.325 0.673
Pm 0.000 0.000 0.000
Pm 0.337 0.675 0.327
Al 0.619 0.238 0.285
Al 0.381 0.762 0.715
Zn 0.714 0.428 0.047
Zn 0.286 0.572 0.953
Zn 0.926 0.852 0.593
Zn 0.074 0.148 0.407
CELL_PARAMETERS angstrom
-0.620 -4.454 -0.753
2.323 1.121 5.264
-8.613 1.165 0.197